The following is a DFT calculation (GGA-PBE) of a relaxed Cs2Cu2PbI6 crystal.

```
Cs2Cu2PbI6
1.0
-6.164 3.205 -4.940
0.631 -8.347 1.154
-3.425 4.793 7.382
Cs Cu Pb I
2 2 1 6
Cartesian
-4.860 -0.298 -1.485
-4.099 -0.052 5.081
-7.821 -0.898 1.821
-1.138 0.549 1.775
-4.795 3.999 1.221
-6.543 1.302 1.654
-1.413 -5.907 1.533
-4.527 3.988 4.481
-7.545 5.557 2.063
-4.431 -4.338 -0.886
-2.415 -1.651 1.942
```

Results
* crystal system: monoclinic
* ΔE_f (raw): -0.78 eV/atom
* space-group type: No. 12